1.
! Tb5Co2Hg2 | the Alexandria database | PBE | optimized geometry; values from VASP
&SYSTEM
  ibrav = 0, nat = 18, ntyp = 3
/
ATOMIC_SPECIES
Tb 158.93 Tb.upf
Co 58.93 Co.upf
Hg 200.59 Hg.upf
CELL_PARAMETERS angstrom
8.066 -3.649 0.000
8.066 3.649 0.000
0.000 0.000 7.440
ATOMIC_POSITIONS angstrom
Tb 0.000 0.000 0.000
Tb 6.115 2.329 5.064
Tb 6.115 1.320 1.344
Tb 10.016 2.329 5.064
Tb 10.016 1.320 1.344
Tb 8.066 0.000 3.720
Tb 6.115 -1.320 6.096
Tb 6.115 -2.329 2.376
Tb 10.016 -1.320 6.096
Tb 10.016 -2.329 2.376
Co 8.066 2.861 2.886
Co 8.066 0.789 6.606
Co 8.066 -0.789 0.834
Co 8.066 -2.861 4.554
Hg 3.551 0.000 0.000
Hg 4.515 0.000 3.720
Hg 11.617 0.000 3.720
Hg 12.580 0.000 0.000
! DFT total energy = -4.53 eV per atom

=====

2.
! TbThCoHg | the Alexandria database | PBE | optimized geometry; values from VASP
&SYSTEM
  ibrav = 0, nat = 4, ntyp = 4
/
ATOMIC_SPECIES
Tb 158.93 Tb.upf
Th 232.04 Th.upf
Co 58.93 Co.upf
Hg 200.59 Hg.upf
CELL_PARAMETERS angstrom
3.412 -1.972 0.000
3.412 1.972 0.000
-2.284 0.000 7.729
ATOMIC_POSITIONS angstrom
Tb 0.000 0.000 0.000
Th 4.542 0.000 2.960
Co 2.273 0.000 1.575
Hg -0.008 0.000 5.427
! DFT total energy = -5.15 eV per atom

=====

3.
! TbTmCoHg | the Alexandria database | PBE | optimized geometry; values from VASP
&SYSTEM
  ibrav = 0, nat = 4, ntyp = 4
/
ATOMIC_SPECIES
Tb 158.93 Tb.upf
Tm 168.93 Tm.upf
Co 58.93 Co.upf
Hg 200.59 Hg.upf
CELL_PARAMETERS angstrom
0.000 3.537 3.537
3.537 0.000 3.537
3.537 3.537 0.000
ATOMIC_POSITIONS angstrom
Tb 0.000 0.000 0.000
Tm 3.537 3.537 3.537
Co 5.306 5.306 5.306
Hg 1.769 1.769 1.769
! DFT total energy = -4.36 eV per atom

=====

| no. | magnetization (μB/atom) |
| --- | --- |
| 1 | 0.00 |
| 2 | 0.00 |
| 3 | 0.15 |